P) This record from Alexandria via LeMat-Bulk describes a relaxed structure of TcAgAs. The functional is PBE-GGA.

## Properties
The density of states at the Fermi level is 2.87 states/eV per cell. For the total magnetization, the calculation gives 0.004 Bohr magnetons per cell. The volume comes out at 17.469 Å³/atom. As for the space group: P3m1 (156).

a b c (Å): 2.993 2.993 6.757
angles (deg): 90.00 90.00 120.00
Fractional coordinates of all 3 atoms:
As1 0.333 0.667 0.376
Tc1 0.667 0.333 0.636
Ag1 0.000 0.000 0.988



Q) This record from Alexandria via LeMat-Bulk describes a relaxed structure of TcAgAs. The functional is PBE-GGA.

## Properties
The density of states at the Fermi level is 2.56 states/eV per cell. For the total magnetization, the calculation gives 0.000 Bohr magnetons per cell. The volume comes out at 16.935 Å³/atom. As for the space group: P4/nmm (129).

a b c (Å): 3.016 3.016 11.174
angles (deg): 90.00 90.00 90.00
Fractional coordinates of all 6 atoms:
Ag1 0.000 0.500 0.590
Ag2 0.500 0.000 0.410
As1 0.000 0.500 0.211
As2 0.500 0.000 0.789
Tc1 0.500 0.000 0.078
Tc2 0.000 0.500 0.922



Tell me which of them is the least stable. Sure, it is P).



P) This record from Alexandria via LeMat-Bulk describes a relaxed structure of Tc3AgAs. The functional is PBE-GGA.

## Properties
The density of states at the Fermi level is 10.42 states/eV per cell. For the total magnetization, the calculation gives 9.840 Bohr magnetons per cell. The volume comes out at 24.212 Å³/atom. As for the space group: Pm-3m (221).

a b c (Å): 4.947 4.947 4.947
angles (deg): 90.00 90.00 90.00
Fractional coordinates of all 5 atoms:
As1 0.500 0.500 0.500
Tc1 0.000 0.500 0.000
Tc2 0.000 0.000 0.500
Tc3 0.500 0.000 0.000
Ag1 0.000 0.000 0.000



Q) This record from Alexandria via LeMat-Bulk describes a relaxed structure of Tc3AgAs. The functional is PBE-GGA.

## Properties
The density of states at the Fermi level is 4.49 states/eV per cell. For the total magnetization, the calculation gives 0.000 Bohr magnetons per cell. The volume comes out at 18.777 Å³/atom. As for the space group: Pm-3m (221).

a b c (Å): 4.545 4.545 4.545
angles (deg): 90.00 90.00 90.00
Fractional coordinates of all 5 atoms:
As1 0.000 0.000 0.000
Tc1 0.000 0.500 0.000
Tc2 0.000 0.000 0.500
Tc3 0.500 0.000 0.000
Ag1 0.500 0.500 0.500



Tell me which of them is the least stable. Sure, it is P).



P) This record from Alexandria via LeMat-Bulk describes a relaxed structure of Tc2AgAs2. The functional is PBE-GGA.

## Properties
The density of states at the Fermi level is 4.08 states/eV per cell. For the total magnetization, the calculation gives 0.000 Bohr magnetons per cell. The volume comes out at 17.577 Å³/atom. As for the space group: I4/mmm (139).

a b c (Å): 3.995 3.995 6.189
angles (deg): 71.17 71.17 90.00
Fractional coordinates of all 5 atoms:
As1 0.750 0.250 0.500
As2 0.250 0.750 0.500
Tc1 0.386 0.386 0.227
Tc2 0.614 0.614 0.773
Ag1 0.000 0.000 0.000



Q) This record from Alexandria via LeMat-Bulk describes a relaxed structure of Tc2AgAs2. The functional is PBE-GGA.

## Properties
The density of states at the Fermi level is 8.84 states/eV per cell. For the total magnetization, the calculation gives 0.000 Bohr magnetons per cell. The volume comes out at 15.747 Å³/atom. As for the space group: P4/mbm (127).

a b c (Å): 7.252 7.252 2.994
angles (deg): 90.00 90.00 90.00
Fractional coordinates of all 10 atoms:
As1 0.353 0.853 0.000
As2 0.853 0.647 0.000
As3 0.647 0.147 0.000
As4 0.147 0.353 0.000
Tc1 0.147 0.647 0.500
Tc2 0.647 0.853 0.500
Tc3 0.853 0.353 0.500
Tc4 0.353 0.147 0.500
Ag1 0.000 0.000 0.000
Ag2 0.500 0.500 0.000



R) This record from Alexandria via LeMat-Bulk describes a relaxed structure of Tc2AgAs2. The functional is PBE-GGA.

## Properties
The density of states at the Fermi level is 6.88 states/eV per cell. For the total magnetization, the calculation gives 0.000 Bohr magnetons per cell. The volume comes out at 15.926 Å³/atom. As for the space group: P4/mbm (127).

a b c (Å): 7.201 7.201 3.071
angles (deg): 90.00 90.00 90.00
Fractional coordinates of all 10 atoms:
As1 0.151 0.651 0.500
As2 0.651 0.849 0.500
As3 0.849 0.349 0.500
As4 0.349 0.151 0.500
Tc1 0.357 0.857 0.000
Tc2 0.857 0.643 0.000
Tc3 0.643 0.143 0.000
Tc4 0.143 0.357 0.000
Ag1 0.000 0.000 0.000
Ag2 0.500 0.500 0.000



Tell me which of them is the least stable. Sure, it is P).



P) This record from Alexandria via LeMat-Bulk describes a relaxed structure of AgTe3As. The functional is PBE-GGA.

## Properties
The density of states at the Fermi level is 6.23 states/eV per cell. For the total magnetization, the calculation gives 0.000 Bohr magnetons per cell. The volume comes out at 30.773 Å³/atom. As for the space group: Pm-3m (221).

a b c (Å): 5.359 5.359 5.359
angles (deg): 90.00 90.00 90.00
Fractional coordinates of all 5 atoms:
As1 0.500 0.500 0.500
Te1 0.000 0.500 0.000
Te2 0.000 0.000 0.500
Te3 0.500 0.000 0.000
Ag1 0.000 0.000 0.000



Q) This record from Alexandria via LeMat-Bulk describes a relaxed structure of AgTe3As. The functional is PBE-GGA.

## Properties
The density of states at the Fermi level is 3.78 states/eV per cell. For the total magnetization, the calculation gives 0.000 Bohr magnetons per cell. The volume comes out at 32.164 Å³/atom. As for the space group: Pm-3m (221).

a b c (Å): 5.438 5.438 5.438
angles (deg): 90.00 90.00 90.00
Fractional coordinates of all 5 atoms:
As1 0.000 0.000 0.000
Te1 0.000 0.500 0.000
Te2 0.000 0.000 0.500
Te3 0.500 0.000 0.000
Ag1 0.500 0.500 0.500



Tell me which of them is the least stable. Sure, it is P).



P) This record from Alexandria via LeMat-Bulk describes a relaxed structure of Ag2Te4As. The functional is PBE-GGA.

## Properties
The density of states at the Fermi level is 12.53 states/eV per cell. For the total magnetization, the calculation gives 0.000 Bohr magnetons per cell. The volume comes out at 30.105 Å³/atom. As for the space group: Imma (74).

a b c (Å): 8.309 8.382 8.382
angles (deg): 62.35 60.29 60.29
Fractional coordinates of all 14 atoms:
As1 0.000 0.500 0.000
As2 0.500 0.500 0.000
Te1 0.257 0.259 0.227
Te2 0.257 0.727 0.759
Te3 0.268 0.254 0.754
Te4 0.725 0.254 0.754
Te5 0.275 0.746 0.246
Te6 0.743 0.273 0.241
Te7 0.732 0.746 0.246
Te8 0.743 0.741 0.773
Ag1 0.128 0.122 0.622
Ag2 0.500 0.000 0.000
Ag3 0.500 0.500 0.500
Ag4 0.872 0.878 0.378



Q) This record from Alexandria via LeMat-Bulk describes a relaxed structure of Ag2Te4As. The functional is PBE-GGA.

## Properties
The density of states at the Fermi level is 7.40 states/eV per cell. For the total magnetization, the calculation gives 0.000 Bohr magnetons per cell. The volume comes out at 29.239 Å³/atom. As for the space group: P2_1/m (11).

a b c (Å): 7.701 8.118 6.981
angles (deg): 90.00 110.29 90.00
Fractional coordinates of all 14 atoms:
Ag1 0.778 0.750 0.081
Ag2 0.222 0.250 0.919
Ag3 0.387 0.250 0.385
Ag4 0.613 0.750 0.615
Te1 0.584 0.517 0.278
Te2 0.003 0.750 0.829
Te3 0.997 0.250 0.171
Te4 0.584 0.983 0.278
Te5 0.873 0.250 0.569
Te6 0.416 0.017 0.722
Te7 0.416 0.483 0.722
Te8 0.127 0.750 0.431
As1 0.308 0.750 0.162
As2 0.692 0.250 0.838



Tell me which of them is the least stable. Sure, it is Q).



P) This record from Alexandria via LeMat-Bulk describes a relaxed structure of AgTe4As2. The functional is PBE-GGA.

## Properties
The density of states at the Fermi level is 4.48 states/eV per cell. For the total magnetization, the calculation gives 0.000 Bohr magnetons per cell. The volume comes out at 27.087 Å³/atom. As for the space group: R-3m (166).

a b c (Å): 4.196 4.196 12.671
angles (deg): 80.47 80.47 60.00
Fractional coordinates of all 7 atoms:
As1 0.426 0.426 0.723
As2 0.574 0.574 0.277
Te1 0.134 0.134 0.598
Te2 0.289 0.289 0.134
Te3 0.711 0.711 0.866
Te4 0.866 0.866 0.402
Ag1 0.000 0.000 0.000



Q) This record from Alexandria via LeMat-Bulk describes a relaxed structure of AgTe4As2. The functional is PBE-GGA.

## Properties
The density of states at the Fermi level is 8.72 states/eV per cell. For the total magnetization, the calculation gives 0.000 Bohr magnetons per cell. The volume comes out at 27.976 Å³/atom. As for the space group: Cmcm (63).

a b c (Å): 4.045 6.899 14.681
angles (deg): 90.00 90.00 107.05
Fractional coordinates of all 14 atoms:
Ag1 0.594 0.188 0.750
Ag2 0.406 0.812 0.250
Te1 0.783 0.566 0.119
Te2 0.783 0.566 0.381
Te3 0.217 0.434 0.881
Te4 0.217 0.434 0.619
Te5 0.948 0.895 0.750
Te6 0.052 0.105 0.250
Te7 0.500 0.000 0.000
Te8 0.500 0.000 0.500
As1 0.142 0.284 0.434
As2 0.858 0.716 0.934
As3 0.142 0.284 0.066
As4 0.858 0.716 0.566



Tell me which of them is the least stable. Sure, it is Q).